Entry a
Ac3Te2Se2 | PBE | optimized geometry

Output
crystal system = monoclinic

Unit cell a=4.6916 b=8.1535 c=8.1123 alpha=105.41 beta=90.03 gamma=106.73
With the nearest neighbours (Å) after each atom.
Element x y z (fractional)
Ac 0.0000 0.0000 0.0000  2 Se 3.10, 4 Te 3.35
Ac 0.7611 0.5215 0.2656  3 Se 3.08-3.12, 3 Te 3.36-3.42
Ac 0.2389 0.4785 0.7344  3 Se 3.08-3.12, 3 Te 3.36-3.42
Te 0.6169 0.2341 0.8616  5 Ac 3.35-3.42
Te 0.3831 0.7659 0.1384  5 Ac 3.35-3.42
Se 0.8524 0.7062 0.6536  4 Ac 3.08-3.12
Se 0.1476 0.2938 0.3464  4 Ac 3.08-3.12

***

Entry b
Ac3Te2Se2 | PBE | optimized geometry

Output
crystal system = monoclinic

Unit cell a=4.5081 b=6.7868 c=9.3957 alpha=97.06 beta=103.88 gamma=90.00
With the nearest neighbours (Å) after each atom.
Element x y z (fractional)
Ac 0.0000 0.0000 0.0000  4 Se 3.13, 2 Te 3.46
Ac 0.8194 0.2753 0.6387  2 Se 3.08, 4 Te 3.35-3.44
Ac 0.1806 0.7247 0.3613  2 Se 3.08, 4 Te 3.35-3.44
Te 0.8196 0.7692 0.6393  5 Ac 3.35-3.46
Te 0.1804 0.2308 0.3607  5 Ac 3.35-3.46
Se 0.5681 0.7607 0.1361  4 Ac 3.08-3.13
Se 0.4319 0.2393 0.8639  4 Ac 3.08-3.13

***

The most stable of them is entry a.

***

Entry a
Ac2TeSe | PBE | optimized geometry

Output
crystal system = orthorhombic

Unit cell a=4.3971 b=7.7442 c=8.2801 alpha=90.00 beta=90.00 gamma=90.00
With the nearest neighbours (Å) after each atom.
Element x y z (fractional)
Ac 0.0000 0.7305 0.7466  3 Se 3.21, 3 Te 3.38
Ac 0.5000 0.2695 0.7534  3 Se 3.21, 3 Te 3.38
Ac 0.0000 0.7305 0.2534  3 Se 3.21, 3 Te 3.38
Ac 0.5000 0.2695 0.2466  3 Se 3.21, 3 Te 3.38
Te 0.5000 0.9213 0.0000  6 Ac 3.38
Te 0.0000 0.0787 0.5000  6 Ac 3.38
Se 0.5000 0.5835 0.5000  6 Ac 3.21
Se 0.0000 0.4165 0.0000  6 Ac 3.21

***

Entry b
Ac2TeSe | PBE | optimized geometry

Output
crystal system = cubic

Unit cell a=5.6104 b=5.6104 c=5.6104 alpha=60.00 beta=60.00 gamma=60.00
With the nearest neighbours (Å) after each atom.
Element x y z (fractional)
Ac 0.2500 0.2500 0.2500  4 Se 3.44, 4 Te 3.44
Ac 0.7500 0.7500 0.7500  4 Te 3.44, 4 Se 3.44
Te 0.0000 0.0000 0.0000  8 Ac 3.44
Se 0.5000 0.5000 0.5000  8 Ac 3.44

***

The most stable of them is entry a.

***

Entry a
Ac2TeSe | PBE | optimized geometry

Output
crystal system = trigonal

Unit cell a=4.5805 b=4.5805 c=8.0348 alpha=73.44 beta=73.44 gamma=60.00
With the nearest neighbours (Å) after each atom.
Element x y z (fractional)
Ac 0.7414 0.7414 0.7757  3 Se 3.14, 3 Te 3.37
Ac 0.2586 0.2586 0.2243  3 Se 3.14, 3 Te 3.37
Te 0.5000 0.5000 0.5000  6 Ac 3.37
Se 0.0000 0.0000 0.0000  6 Ac 3.14

***

Entry b
Ac2TeSe | PBE | optimized geometry

Output
crystal system = trigonal

Unit cell a=4.4823 b=4.4823 c=8.4148 alpha=74.55 beta=74.55 gamma=60.00
With the nearest neighbours (Å) after each atom.
Element x y z (fractional)
Ac 0.0736 0.0736 0.7791  3 Se 3.11, 3 Te 3.41
Ac 0.2591 0.2591 0.2227  3 Se 3.16, 3 Te 3.42
Te 0.4991 0.4991 0.5027  6 Ac 3.41-3.42
Se 0.6681 0.6681 0.9956  6 Ac 3.11-3.16

***

The most stable of them is entry a.